The following is a DFT calculation (PBE-GGA) of an optimized crystal structure of ErTmGaIr.

## Properties
formation energy from the elements = -0.774 eV/atom

a b c (Å): 3.8666 4.2853 5.6154
angles (deg): 90.00 110.14 90.00
Atoms (fractional coordinates):
Tm: 0.1426 0.0000 0.2851
Er: 0.8592 0.5000 0.7185
Ir: 0.4261 0.0000 0.8522
Ga: 0.5721 0.5000 0.1442